## LiLaZnS3 (PBE-GGA)

Data for LiLaZnS3 after structural relaxation.

Results
- energy above the lowest structure with this stoichiometry (eV per atom) = 0.069
- E (eV per atom) = -4.7973

Cell lengths 6.3536, 6.3536, 11.2127 Å; angles 90.00, 90.00, 36.39 degrees
Atoms (fractional coordinates):
S  0.0859  0.0859  0.2500
S  0.6474  0.6474  0.5885
S  0.3526  0.3526  0.4115
S  0.9141  0.9141  0.7500
S  0.6474  0.6474  0.9115
S  0.3526  0.3526  0.0885
Zn  0.4708  0.4708  0.2500
Zn  0.5292  0.5292  0.7500
Li  0.7659  0.7659  0.2500
Li  0.2341  0.2341  0.7500
La  0.0000  0.0000  0.0000
La  0.0000  0.0000  0.5000

---

## RbFeTe3Pb (PBE-GGA)

Data for RbFeTe3Pb after structural relaxation.

Results
- E (eV per atom) = -4.0909

Cell lengths 8.4020, 8.4020, 12.4639 Å; angles 90.00, 90.00, 148.95 degrees
Last column: magnetic moment on the atom in μB.
Atoms (fractional coordinates):
Pb  0.0000  0.0000  0.5000  0.03
Pb  0.0000  0.0000  0.0000  0.03
Te  0.9513  0.0487  0.2500  0.19
Te  0.3675  0.6325  0.5769  0.21
Te  0.6325  0.3675  0.4231  0.21
Te  0.0487  0.9513  0.7500  0.19
Te  0.6325  0.3675  0.0769  0.21
Te  0.3675  0.6325  0.9231  0.21
Rb  0.7367  0.2633  0.7500  0.01
Rb  0.2633  0.7367  0.2500  0.01
Fe  0.4525  0.5475  0.7500  3.41
Fe  0.5475  0.4525  0.2500  3.41

---

## CsAgOs (PBE-GGA)

Data for CsAgOs after structural relaxation.

Results
- energy above the lowest structure with this stoichiometry (eV per atom) = 0.000
- E (eV per atom) = -3.0312

Cell lengths 4.9259, 4.9259, 4.9259 Å; angles 60.00, 60.00, 60.00 degrees
Atoms (fractional coordinates):
Cs  0.7500  0.7500  0.7500
Os  0.0000  0.0000  0.0000
Ag  0.2500  0.2500  0.2500

---

## Hf2TlAu2 (PBE-GGA)

Data for Hf2TlAu2 after structural relaxation.

Results
- E (eV per atom) = -5.6379

Cell lengths 4.2895, 4.2895, 7.0068 Å; angles 107.82, 107.82, 90.00 degrees
Atoms (fractional coordinates):
Tl  0.0000  0.0000  0.0000
Hf  0.3863  0.3863  0.7726
Hf  0.6137  0.6137  0.2274
Au  0.2500  0.7500  0.5000
Au  0.7500  0.2500  0.5000

---

## DyHoZn2Pb2 (PBE-GGA)

Data for DyHoZn2Pb2 after structural relaxation.

Results
- E (eV per atom) = -3.5810

Cell lengths 4.5846, 4.5846, 15.9858 Å; angles 90.00, 90.00, 120.00 degrees
Atoms (fractional coordinates):
Zn  0.3333  0.6667  0.3345
Zn  0.6667  0.3333  0.8345
Zn  0.3333  0.6667  0.1655
Zn  0.6667  0.3333  0.6655
Dy  0.0000  0.0000  0.5000
Dy  0.0000  0.0000  0.0000
Pb  0.6667  0.3333  0.3902
Pb  0.6667  0.3333  0.1098
Pb  0.3333  0.6667  0.6098
Pb  0.3333  0.6667  0.8902
Ho  0.0000  0.0000  0.2500
Ho  0.0000  0.0000  0.7500

---

## NiHgBIr (PBE-GGA)

Data for NiHgBIr after structural relaxation.

Results
- energy above the lowest structure with this stoichiometry (eV per atom) = 0.000
- E (eV per atom) = -4.5388

Cell lengths 4.1985, 4.1985, 4.1985 Å; angles 60.00, 60.00, 60.00 degrees
Atoms (fractional coordinates):
Ir  0.2500  0.2500  0.2500
B  0.0000  0.0000  0.0000
Ni  0.5000  0.5000  0.5000
Hg  0.7500  0.7500  0.7500